Entry from Alexandria via LeMat-Bulk: a relaxed Nd3ZnCu8 crystal (GGA-PBE).

## Properties
density = 8.2 Mg/m³
crystal system = trigonal
magnetization = 0.000 μB/f.u.
formation enthalpy at 0 K = -12 kJ per mole of atoms

a b c (Å): 5.248 5.248 9.098
angles (deg): 73.24 73.24 60.00
Positions (direct):
Cu: 0.938 0.938 0.680
Cu: 0.945 0.432 0.192
Cu: 0.938 0.444 0.680
Cu: 0.432 0.945 0.192
Cu: 0.687 0.687 0.940
Cu: 0.189 0.189 0.433
Cu: 0.432 0.432 0.192
Cu: 0.444 0.938 0.680
Zn: 0.868 0.868 0.395
Nd: 0.991 0.991 0.026
Nd: 0.506 0.506 0.481
Nd: 0.380 0.380 0.861

---

Entry from Alexandria via LeMat-Bulk: a relaxed BeRu2Rh crystal (GGA-PBE).

## Properties
density = 10.1 Mg/m³
crystal system = tetragonal
magnetization = 0.000 μB/f.u.
formation enthalpy at 0 K = 2 kJ per mole of atoms

a b c (Å): 4.702 4.702 4.702
angles (deg): 134.65 134.65 66.08
Positions (direct):
Rh: 0.750 0.250 0.500
Ru: 0.000 0.000 0.000
Ru: 0.500 0.500 0.000
Be: 0.250 0.750 0.500

---

Entry from Alexandria via LeMat-Bulk: a relaxed BeZn crystal (GGA-PBE).

## Properties
density = 2.8 Mg/m³
crystal system = cubic
magnetization = 0.000 μB/f.u.
formation enthalpy at 0 K = 101 kJ per mole of atoms

a b c (Å): 6.385 6.385 6.385
angles (deg): 90.00 90.00 90.00
Positions (direct):
Be: 0.000 0.750 0.500
Be: 0.500 0.000 0.750
Be: 0.500 0.000 0.250
Be: 0.250 0.500 0.000
Be: 0.000 0.250 0.500
Be: 0.750 0.500 0.000
Zn: 0.500 0.250 0.000
Zn: 0.750 0.000 0.500
Zn: 0.250 0.000 0.500
Zn: 0.000 0.500 0.250
Zn: 0.000 0.500 0.750
Zn: 0.500 0.750 0.000

---

Entry from Alexandria via LeMat-Bulk: a relaxed Sr8In3Hg2 crystal (GGA-PBE).

## Properties
density = 4.7 Mg/m³
crystal system = orthorhombic
magnetization = 0.000 μB/f.u.
formation enthalpy at 0 K = -28 kJ per mole of atoms

a b c (Å): 6.015 9.585 10.010
angles (deg): 118.60 90.00 90.00
Positions (direct):
Sr: 0.500 0.838 0.233
Sr: 0.000 0.896 0.791
Sr: 0.500 0.162 0.767
Sr: 0.500 0.605 0.767
Sr: 0.000 0.681 0.362
Sr: 0.000 0.104 0.209
Sr: 0.000 0.319 0.638
Sr: 0.500 0.395 0.233
In: 0.500 0.000 0.000
In: 0.000 0.667 0.000
In: 0.000 0.333 0.000
Hg: 0.500 0.230 0.459
Hg: 0.500 0.770 0.541

---

For the records above, the corresponding DOS at the Fermi energy values read 9.928 4.003 5.574 14.220 states/eV/cell.